VASP calculation (PBE-GGA) on an optimized crystal structure of SmHoNi2Pb.

Unit cell a=3.6838 b=7.4212 c=7.4212 alpha=31.37 beta=90.00 gamma=90.00
Element x y z (fractional)
Ni 0.5000 0.8003 0.8003
Ni 0.5000 0.2018 0.2018
Pb 0.5000 0.9986 0.9986
Sm 0.0000 0.6397 0.6397
Ho 0.0000 0.3595 0.3595

Properties
E in eV per atom: -5.322
SG: No. 38